(1)
# Er3Tl2N | the Alexandria database | PBE | optimized geometry
data_Er3Tl2N
_chemical_formula_sum 'Er6 Tl4 N2'
_cell_length_a 5.631
_cell_length_b 6.943
_cell_length_c 7.958
_cell_angle_alpha 102.60
_cell_angle_beta 110.72
_cell_angle_gamma 90.00
_symmetry_space_group_name_H-M 'P 1'
_symmetry_Int_Tables_number 1
_symmetry_space_group_name_Hall 'P 1'
loop_
_atom_site_label
_atom_site_type_symbol
_atom_site_fract_x
_atom_site_fract_y
_atom_site_fract_z
Er1 Er 0.494 0.250 0.000
Er2 Er 0.506 0.750 0.000
Er3 Er 0.106 0.054 0.215
Er4 Er 0.891 0.446 0.785
Er5 Er 0.109 0.554 0.215
Er6 Er 0.894 0.946 0.785
Tl1 Tl 0.702 0.600 0.402
Tl2 Tl 0.699 0.100 0.402
Tl3 Tl 0.301 0.900 0.598
Tl4 Tl 0.298 0.400 0.598
N1 N 0.991 0.750 0.000
N2 N 0.009 0.250 0.000
# Theoretical density in g/cm³: 10.85
# Raw total energy in eV/atom: -5.084
# Formation energy without anion corrections in eV per atom: -0.63

(2)
# Ta3SiOs | the Alexandria database | PBE | optimized geometry
data_Ta3SiOs
_chemical_formula_sum 'Ta12 Si4 Os4'
_cell_length_a 5.234
_cell_length_b 7.375
_cell_length_c 8.950
_cell_angle_alpha 107.47
_cell_angle_beta 90.00
_cell_angle_gamma 90.00
_symmetry_space_group_name_H-M 'P 1'
_symmetry_Int_Tables_number 1
_symmetry_space_group_name_Hall 'P 1'
loop_
_atom_site_label
_atom_site_type_symbol
_atom_site_fract_x
_atom_site_fract_y
_atom_site_fract_z
Ta1 Ta 0.994 0.000 0.675
Ta2 Ta 0.006 0.000 0.325
Ta3 Ta 0.494 0.000 0.825
Ta4 Ta 0.506 0.000 0.175
Ta5 Ta 0.502 0.809 0.451
Ta6 Ta 0.498 0.191 0.549
Ta7 Ta 0.002 0.191 0.049
Ta8 Ta 0.998 0.809 0.951
Ta9 Ta 0.782 0.605 0.149
Ta10 Ta 0.218 0.395 0.851
Ta11 Ta 0.282 0.395 0.351
Ta12 Ta 0.718 0.605 0.649
Si1 Si 0.996 0.701 0.428
Si2 Si 0.004 0.299 0.572
Si3 Si 0.496 0.299 0.072
Si4 Si 0.504 0.701 0.928
Os1 Os 0.232 0.640 0.660
Os2 Os 0.768 0.360 0.340
Os3 Os 0.732 0.360 0.840
Os4 Os 0.268 0.640 0.160
# Theoretical density in g/cm³: 15.34
# Distance to the lowest polymorph of the same formula in eV/atom: 0.000
# Raw total energy in eV/atom: -10.798
# Formation energy without anion corrections in eV per atom: -0.36

(3)
# CaSc2AgHg4 | the Alexandria database | PBE | optimized geometry
data_CaSc2AgHg4
_chemical_formula_sum 'Ca1 Sc2 Ag1 Hg4'
_cell_length_a 4.986
_cell_length_b 4.986
_cell_length_c 8.807
_cell_angle_alpha 73.56
_cell_angle_beta 73.56
_cell_angle_gamma 60.00
_symmetry_space_group_name_H-M 'P 1'
_symmetry_Int_Tables_number 1
_symmetry_space_group_name_Hall 'P 1'
loop_
_atom_site_label
_atom_site_type_symbol
_atom_site_fract_x
_atom_site_fract_y
_atom_site_fract_z
Ca1 Ca 0.000 0.000 0.000
Sc1 Sc 0.756 0.756 0.733
Sc2 Sc 0.244 0.244 0.267
Ag1 Ag 0.500 0.500 0.500
Hg1 Hg 0.378 0.378 0.865
Hg2 Hg 0.875 0.875 0.374
Hg3 Hg 0.125 0.125 0.626
Hg4 Hg 0.622 0.622 0.135
# Theoretical density in g/cm³: 9.64
# Raw total energy in eV/atom: -2.656

(4)
# NaSiRu2Pb | the Alexandria database | PBE | optimized geometry
data_NaSiRu2Pb
_chemical_formula_sum 'Na1 Si1 Ru2 Pb1'
_cell_length_a 5.026
_cell_length_b 5.148
_cell_length_c 5.026
_cell_angle_alpha 90.00
_cell_angle_beta 90.00
_cell_angle_gamma 90.00
_symmetry_space_group_name_H-M 'P 1'
_symmetry_Int_Tables_number 1
_symmetry_space_group_name_Hall 'P 1'
loop_
_atom_site_label
_atom_site_type_symbol
_atom_site_fract_x
_atom_site_fract_y
_atom_site_fract_z
Pb1 Pb 0.000 0.000 0.000
Ru1 Ru 0.000 0.000 0.500
Ru2 Ru 0.500 0.000 0.000
Si1 Si 0.500 0.500 0.500
Na1 Na 0.000 0.500 0.000
# Theoretical density in g/cm³: 5.88
# Raw total energy in eV/atom: -4.031
# Formation energy without anion corrections in eV per atom: 1.77

(5)
# BaSrMo2 | the Alexandria database | PBE | optimized geometry
data_BaSrMo2
_chemical_formula_sum 'Ba1 Sr1 Mo2'
_cell_length_a 11.452
_cell_length_b 11.452
_cell_length_c 11.452
_cell_angle_alpha 15.89
_cell_angle_beta 15.89
_cell_angle_gamma 15.89
_symmetry_space_group_name_H-M 'P 1'
_symmetry_Int_Tables_number 1
_symmetry_space_group_name_Hall 'P 1'
loop_
_atom_site_label
_atom_site_type_symbol
_atom_site_fract_x
_atom_site_fract_y
_atom_site_fract_z
Ba1 Ba 0.750 0.750 0.750
Mo1 Mo 0.997 0.997 0.997
Mo2 Mo 0.503 0.503 0.503
Sr1 Sr 0.250 0.250 0.250
# Theoretical density in g/cm³: 7.05
# Distance to the lowest polymorph of the same formula in eV/atom: 1.032
# Raw total energy in eV/atom: -4.754

(6)
# LiLaP2 | the Alexandria database | PBE | optimized geometry
data_LiLaP2
_chemical_formula_sum 'Li1 La1 P2'
_cell_length_a 4.163
_cell_length_b 4.163
_cell_length_c 5.701
_cell_angle_alpha 90.00
_cell_angle_beta 90.00
_cell_angle_gamma 90.00
_symmetry_space_group_name_H-M 'P 1'
_symmetry_Int_Tables_number 1
_symmetry_space_group_name_Hall 'P 1'
loop_
_atom_site_label
_atom_site_type_symbol
_atom_site_fract_x
_atom_site_fract_y
_atom_site_fract_z
La1 La 0.000 0.000 0.375
Li1 Li 0.500 0.500 0.875
P1 P 0.000 0.000 0.875
P2 P 0.500 0.500 0.375
# Theoretical density in g/cm³: 3.49
# Distance to the lowest polymorph of the same formula in eV/atom: 0.412
# Raw total energy in eV/atom: -4.916

(7)
# Y7Ho2Mg2 | the Alexandria database | PBE | optimized geometry
data_Y7Ho2Mg2
_chemical_formula_sum 'Y7 Ho2 Mg2'
_cell_length_a 3.712
_cell_length_b 6.633
_cell_length_c 17.150
_cell_angle_alpha 88.62
_cell_angle_beta 122.76
_cell_angle_gamma 106.25
_symmetry_space_group_name_H-M 'P 1'
_symmetry_Int_Tables_number 1
_symmetry_space_group_name_Hall 'P 1'
loop_
_atom_site_label
_atom_site_type_symbol
_atom_site_fract_x
_atom_site_fract_y
_atom_site_fract_z
Y1 Y 0.197 0.782 0.522
Y2 Y 0.550 0.598 0.101
Y3 Y 0.803 0.218 0.478
Y4 Y 0.450 0.402 0.899
Y5 Y 0.000 0.000 0.000
Y6 Y 0.922 0.504 0.668
Y7 Y 0.078 0.496 0.332
Ho1 Ho 0.666 0.929 0.281
Ho2 Ho 0.334 0.071 0.719
Mg1 Mg 0.966 0.775 0.831
Mg2 Mg 0.034 0.225 0.169
# Theoretical density in g/cm³: 4.94
# Distance to the lowest polymorph of the same formula in eV/atom: 0.000
# Raw total energy in eV/atom: -5.252

(8)
# LaMo2Au | the Alexandria database | PBE | optimized geometry
data_LaMo2Au
_chemical_formula_sum 'La1 Mo2 Au1'
_cell_length_a 2.987
_cell_length_b 2.987
_cell_length_c 9.624
_cell_angle_alpha 90.00
_cell_angle_beta 90.00
_cell_angle_gamma 112.63
_symmetry_space_group_name_H-M 'P 1'
_symmetry_Int_Tables_number 1
_symmetry_space_group_name_Hall 'P 1'
loop_
_atom_site_label
_atom_site_type_symbol
_atom_site_fract_x
_atom_site_fract_y
_atom_site_fract_z
Au1 Au 0.000 0.000 0.473
La1 La 0.500 0.500 0.758
Mo1 Mo 0.000 0.000 0.035
Mo2 Mo 0.500 0.500 0.234
# Theoretical density in g/cm³: 11.06
# Distance to the lowest polymorph of the same formula in eV/atom: 0.183
# Raw total energy in eV/atom: -7.194

(9)
# EuTlSbPb | the Alexandria database | PBE | optimized geometry
data_EuTlSbPb
_chemical_formula_sum 'Eu1 Tl1 Sb1 Pb1'
_cell_length_a 5.581
_cell_length_b 5.581
_cell_length_c 5.581
_cell_angle_alpha 60.00
_cell_angle_beta 60.00
_cell_angle_gamma 60.00
_symmetry_space_group_name_H-M 'P 1'
_symmetry_Int_Tables_number 1
_symmetry_space_group_name_Hall 'P 1'
loop_
_atom_site_label
_atom_site_type_symbol
_atom_site_fract_x
_atom_site_fract_y
_atom_site_fract_z
Pb1 Pb 0.750 0.750 0.750
Eu1 Eu 0.250 0.250 0.250
Tl1 Tl 0.000 0.000 0.000
Sb1 Sb 0.500 0.500 0.500
# Theoretical density in g/cm³: 9.26
# Raw total energy in eV/atom: -5.446
# Formation energy without anion corrections in eV per atom: -0.33

(10)
# Tl2MoAu | the Alexandria database | PBE | optimized geometry
data_Tl2MoAu
_chemical_formula_sum 'Tl2 Mo1 Au1'
_cell_length_a 3.377
_cell_length_b 3.377
_cell_length_c 7.387
_cell_angle_alpha 90.00
_cell_angle_beta 90.00
_cell_angle_gamma 90.00
_symmetry_space_group_name_H-M 'P 1'
_symmetry_Int_Tables_number 1
_symmetry_space_group_name_Hall 'P 1'
loop_
_atom_site_label
_atom_site_type_symbol
_atom_site_fract_x
_atom_site_fract_y
_atom_site_fract_z
Au1 Au 0.500 0.500 0.250
Mo1 Mo 0.500 0.500 0.750
Tl1 Tl 0.000 0.000 0.993
Tl2 Tl 0.000 0.000 0.507
# Theoretical density in g/cm³: 13.83
# Distance to the lowest polymorph of the same formula in eV/atom: 0.207
# Raw total energy in eV/atom: -4.061

(11)
# K9Rb3Na2 | the Alexandria database | PBE | optimized geometry
data_K9Rb3Na2
_chemical_formula_sum 'K9 Rb3 Na2'
_cell_length_a 6.919
_cell_length_b 12.542
_cell_length_c 12.542
_cell_angle_alpha 82.73
_cell_angle_beta 73.99
_cell_angle_gamma 73.99
_symmetry_space_group_name_H-M 'P 1'
_symmetry_Int_Tables_number 1
_symmetry_space_group_name_Hall 'P 1'
loop_
_atom_site_label
_atom_site_type_symbol
_atom_site_fract_x
_atom_site_fract_y
_atom_site_fract_z
K1 K 0.000 0.500 0.500
K2 K 0.629 0.003 0.739
K3 K 0.371 0.997 0.261
K4 K 0.629 0.739 0.003
K5 K 0.371 0.261 0.997
K6 K 0.864 0.854 0.418
K7 K 0.136 0.146 0.582
K8 K 0.864 0.418 0.854
K9 K 0.136 0.582 0.146
Rb1 Rb 0.000 0.000 0.000
Rb2 Rb 0.706 0.294 0.294
Rb3 Rb 0.294 0.706 0.706
Na1 Na 0.500 0.351 0.649
Na2 Na 0.500 0.649 0.351
# Theoretical density in g/cm³: 1.08
# Raw total energy in eV/atom: -1.071

(12)
# BeCoNi2 | the Alexandria database | PBE | optimized geometry
data_BeCoNi2
_chemical_formula_sum 'Be1 Co1 Ni2'
_cell_length_a 2.479
_cell_length_b 3.350
_cell_length_c 4.885
_cell_angle_alpha 90.00
_cell_angle_beta 90.00
_cell_angle_gamma 90.00
_symmetry_space_group_name_H-M 'P 1'
_symmetry_Int_Tables_number 1
_symmetry_space_group_name_Hall 'P 1'
loop_
_atom_site_label
_atom_site_type_symbol
_atom_site_fract_x
_atom_site_fract_y
_atom_site_fract_z
Ni1 Ni 0.000 0.000 0.009
Ni2 Ni 0.000 0.000 0.491
Co1 Co 0.500 0.500 0.750
Be1 Be 0.500 0.500 0.250
# Theoretical density in g/cm³: 7.59
# Raw total energy in eV/atom: -5.721

(13)
# ZrCoCu2Se | the Alexandria database | PBE | optimized geometry
data_ZrCoCu2Se
_chemical_formula_sum 'Zr1 Co1 Cu2 Se1'
_cell_length_a 4.432
_cell_length_b 4.650
_cell_length_c 4.432
_cell_angle_alpha 90.00
_cell_angle_beta 90.00
_cell_angle_gamma 90.00
_symmetry_space_group_name_H-M 'P 1'
_symmetry_Int_Tables_number 1
_symmetry_space_group_name_Hall 'P 1'
loop_
_atom_site_label
_atom_site_type_symbol
_atom_site_fract_x
_atom_site_fract_y
_atom_site_fract_z
Cu1 Cu 0.000 0.000 0.500
Cu2 Cu 0.500 0.000 0.000
Co1 Co 0.000 0.000 0.000
Se1 Se 0.500 0.500 0.500
Zr1 Zr 0.000 0.500 0.000
# Theoretical density in g/cm³: 6.48
# Raw total energy in eV/atom: -5.086
# Formation energy without anion corrections in eV per atom: 0.38

Here are the calculated D(E_F) numbers, same order: 6.6 13.7 5.9 8.6 5.8 4.7 16.7 4.0 3.4 2.2 10.0 4.2 4.6 (states/eV per cell).